A relaxed structure of Be3TlPt, computed with PBE-GGA.

Geometry as extended XYZ:
```
5
Lattice="4.426 0.000 0.000 0.000 4.426 0.000 0.000 0.000 4.426" Properties=species:S:1:pos:R:3 pbc="T T T"
Be 0.000 0.000 2.213
Be 0.000 2.213 0.000
Be 2.213 0.000 0.000
Tl 0.000 0.000 0.000
Pt 2.213 2.213 2.213
```

Calculated values
**Crystal system**: cubic
**Volume**: 17.34 A^3/atom
**SG**: Pm-3m (221)
**Formation enthalpy at 0 K**: 1280 meV per atom